# PBE PmHgPd5, optimized geometry
data_PmHgPd5
_cell_length_a 5.066
_cell_length_b 7.098
_cell_length_c 9.541
_cell_angle_alpha 90.00
_cell_angle_beta 90.00
_cell_angle_gamma 90.00
_symmetry_space_group_name_H-M 'P 1'
_symmetry_Int_Tables_number 1
_symmetry_space_group_name_Hall 'P 1'
loop_
_atom_site_label
_atom_site_type_symbol
_atom_site_fract_x
_atom_site_fract_y
_atom_site_fract_z
_atom_site_occupancy
Pm1 Pm 0.000 0.000 0.000 1
Pm2 Pm 0.500 0.500 0.500 1
Hg1 Hg 0.000 0.500 0.825 1
Hg2 Hg 0.500 0.000 0.325 1
Pd1 Pd 0.000 0.000 0.498 1
Pd2 Pd 0.000 0.186 0.260 1
Pd3 Pd 0.000 0.814 0.260 1
Pd4 Pd 0.249 0.000 0.738 1
Pd5 Pd 0.251 0.500 0.238 1
Pd6 Pd 0.500 0.314 0.760 1
Pd7 Pd 0.500 0.500 0.998 1
Pd8 Pd 0.500 0.686 0.760 1
Pd9 Pd 0.749 0.500 0.238 1
Pd10 Pd 0.751 0.000 0.738 1
# * size of the total moment: 0.00 μB per formula unit
# * energy of formation: 0.075 eV/atom